Entry 1:
! In8Br6Cl | Alexandria via LeMat-Bulk | PBE | optimized geometry; values from VASP
&SYSTEM
  ibrav = 0, nat = 15, ntyp = 3
/
ATOMIC_SPECIES
Br 79.90 Br.upf
In 114.82 In.upf
Cl 35.45 Cl.upf
ATOMIC_POSITIONS angstrom
Br 8.834 -4.109 0.702
Br 6.138 -7.402 1.716
Br 3.078 -4.457 3.148
Br 5.774 -1.163 2.134
Br 7.257 -4.474 4.767
Br 4.654 -4.092 -0.917
In 2.849 -7.336 2.293
In 8.692 -6.251 2.810
In 4.644 -5.403 5.943
In 7.268 -3.162 -2.092
In 9.063 -1.229 1.557
In 6.285 -1.295 5.101
In 3.219 -2.315 1.041
In 5.627 -7.270 -1.250
Cl 0.000 0.000 0.000
CELL_PARAMETERS angstrom
0.066 -7.153 3.801
5.636 -3.277 -4.808
6.209 1.864 4.857
! E_form (uncorrected) (eV/atom): -0.539

=====

Entry 2:
! Y2Tm2Sc5 | Alexandria via LeMat-Bulk | PBE | optimized geometry; values from VASP
&SYSTEM
  ibrav = 0, nat = 18, ntyp = 3
/
ATOMIC_SPECIES
Sc 44.96 Sc.upf
Y 88.91 Y.upf
Tm 168.93 Tm.upf
ATOMIC_POSITIONS angstrom
Sc 0.348 -1.095 2.564
Sc -0.577 1.469 6.613
Sc 7.416 2.600 -1.524
Sc -2.240 -0.158 4.306
Sc 6.221 -2.326 1.166
Sc 1.679 -3.924 4.354
Sc -5.100 -3.067 8.659
Sc 2.023 0.496 4.891
Sc -1.741 -3.466 3.324
Sc 5.161 0.333 -0.671
Y 3.741 -1.626 3.288
Y 3.961 2.984 3.862
Y 0.104 2.253 3.388
Y -2.799 -0.731 7.832
Tm -0.248 -1.810 5.790
Tm 6.261 5.406 2.992
Tm 2.604 1.052 1.340
Tm 5.972 0.823 2.418
CELL_PARAMETERS angstrom
-3.630 3.496 6.639
-3.183 -7.354 3.784
10.210 3.430 -2.908
! Energy of formation from the pure elements (eV per atom): 0.08
! Distance to the lowest polymorph of the same formula (kJ per mole of atoms): 0.0

=====

Entry 3:
! TaTlCl2 | Alexandria via LeMat-Bulk | PBE | optimized geometry; values from VASP
&SYSTEM
  ibrav = 0, nat = 4, ntyp = 3
/
ATOMIC_SPECIES
Cl 35.45 Cl.upf
Tl 204.38 Tl.upf
Ta 180.95 Ta.upf
ATOMIC_POSITIONS angstrom
Cl 3.540 2.531 0.000
Cl 0.000 0.000 0.000
Tl 2.678 -0.005 1.561
Ta 0.862 2.535 1.561
CELL_PARAMETERS angstrom
5.356 -0.010 0.000
1.724 5.071 0.000
-3.540 -2.531 3.122
! Distance to the lowest polymorph of the same formula (kJ per mole of atoms): 99.6
! E_form (uncorrected) (eV/atom): 0.521

=====

Entry 4:
! HOsRhW2 | Alexandria via LeMat-Bulk | PBE | optimized geometry; values from VASP
&SYSTEM
  ibrav = 0, nat = 5, ntyp = 4
/
ATOMIC_SPECIES
Rh 102.91 Rh.upf
Os 190.23 Os.upf
W 183.84 W.upf
H 1.01 H.upf
ATOMIC_POSITIONS angstrom
Rh -0.112 -3.424 0.299
Os 0.349 -0.979 1.651
W -1.604 -1.148 -0.342
W 1.143 -1.296 -1.011
H 0.000 0.000 0.000
CELL_PARAMETERS angstrom
-3.208 -2.297 -0.684
2.287 -2.593 -2.021
0.698 -1.959 3.302
! Distance to the lowest polymorph of the same formula (kJ per mole of atoms): 1.6

=====

Entry 5:
! NbZnNiIr | Alexandria via LeMat-Bulk | PBE | optimized geometry; values from VASP
&SYSTEM
  ibrav = 0, nat = 4, ntyp = 4
/
ATOMIC_SPECIES
Zn 65.41 Zn.upf
Nb 92.91 Nb.upf
Ir 192.22 Ir.upf
Ni 58.69 Ni.upf
ATOMIC_POSITIONS angstrom
Zn 4.351 2.512 1.776
Nb 0.000 0.000 0.000
Ir 6.527 3.768 2.665
Ni 2.176 1.256 0.888
CELL_PARAMETERS angstrom
4.351 0.000 0.000
2.176 3.768 0.000
2.176 1.256 3.553
! Energy of formation from the pure elements (eV per atom): -0.31
! Distance to the lowest polymorph of the same formula (kJ per mole of atoms): 4.9

=====

Entry 6:
! KRbO | Alexandria via LeMat-Bulk | PBE | optimized geometry; values from VASP
&SYSTEM
  ibrav = 0, nat = 6, ntyp = 3
/
ATOMIC_SPECIES
K 39.10 K.upf
O 16.00 O.upf
Rb 85.47 Rb.upf
ATOMIC_POSITIONS angstrom
K 2.332 2.360 5.030
K 2.341 2.360 1.677
O 2.337 0.000 3.353
O 0.000 2.360 0.000
Rb 4.705 0.000 1.677
Rb -0.032 0.000 5.030
CELL_PARAMETERS angstrom
4.727 0.000 0.000
0.000 4.720 0.000
-0.054 0.000 6.707
! E_form (uncorrected) (eV/atom): -0.953

=====

Entry 7:
! BaPuNi2S4 | Alexandria via LeMat-Bulk | PBE | optimized geometry; values from VASP
&SYSTEM
  ibrav = 0, nat = 8, ntyp = 4
/
ATOMIC_SPECIES
Pu 244.00 Pu.upf
S 32.06 S.upf
Ni 58.69 Ni.upf
Ba 137.33 Ba.upf
ATOMIC_POSITIONS angstrom
Pu -5.665 0.081 5.157
S -6.288 -0.511 7.722
S -6.383 -2.309 4.115
S -3.124 0.884 4.697
S -6.866 2.260 4.096
Ni -8.493 0.132 7.731
Ni -2.837 0.030 2.584
Ba 0.000 0.000 0.000
CELL_PARAMETERS angstrom
-4.098 3.567 3.379
-5.767 -1.939 1.109
-1.465 -1.465 5.827
! E_form (uncorrected) (eV/atom): -0.986

=====

Entry 8:
! Ce2PrSmSe5 | Alexandria via LeMat-Bulk | PBE | optimized geometry; values from VASP
&SYSTEM
  ibrav = 0, nat = 9, ntyp = 4
/
ATOMIC_SPECIES
Pr 140.91 Pr.upf
Se 78.96 Se.upf
Ce 140.12 Ce.upf
Sm 150.36 Sm.upf
ATOMIC_POSITIONS angstrom
Pr 0.000 0.000 0.000
Se 0.000 0.000 2.758
Se 2.622 2.622 0.000
Se 0.000 0.000 8.360
Se 0.000 2.622 5.559
Se 2.622 0.000 5.559
Ce 2.622 2.622 3.568
Ce 2.622 2.622 7.550
Sm 0.000 0.000 5.559
CELL_PARAMETERS angstrom
5.244 0.000 0.000
0.000 5.244 0.000
0.000 0.000 11.118
! E_form (uncorrected) (eV/atom): -1.232